[1]
TlGaSbPb | PBE | optimized geometry

Calculated density, g/cm3: 8.73
DOS at the Fermi energy, states/eV per cell: 3.422
ΔE_f (raw), eV per atom: 0.10

abc: 5.4535 5.4535 5.4535
angles: 60.00 60.00 60.00
Element x y z (fractional)
Tl1 0.0000 0.0000 0.0000
Ga1 0.7500 0.7500 0.7500
Sb1 0.5000 0.5000 0.5000
Pb1 0.2500 0.2500 0.2500

[2]
GaSbPbW2 | PBE | optimized geometry

Calculated density, g/cm3: 9.05
DOS at the Fermi energy, states/eV per cell: 4.182
ΔE_f (raw), eV per atom: 2.35

abc: 5.2512 5.2512 5.0994
angles: 90.00 90.00 90.00
Element x y z (fractional)
Ga1 0.0000 0.0000 0.0000
Sb1 0.5000 0.5000 0.0000
Pb1 0.0000 0.0000 0.5000
W1 0.0000 0.5000 0.5000
W2 0.5000 0.0000 0.5000

[3]
Sc2Ga2Pb | PBE | optimized geometry

Polymorph energy (0 for the lowest one), meV per atom: 0
Calculated density, g/cm3: 6.79
ΔE_f, kJ/mol of atoms: -41.67
DOS at the Fermi energy, states/eV per cell: 3.884

abc: 7.8542 7.8542 3.4600
angles: 90.00 90.00 90.00
Element x y z (fractional)
Sc1 0.1801 0.3199 0.0000
Sc2 0.3199 0.8199 0.0000
Sc3 0.6801 0.1801 0.0000
Sc4 0.8199 0.6801 0.0000
Ga1 0.1156 0.6156 0.5000
Ga2 0.3844 0.1156 0.5000
Ga3 0.6156 0.8844 0.5000
Ga4 0.8844 0.3844 0.5000
Pb1 0.0000 0.0000 0.5000
Pb2 0.5000 0.5000 0.5000

Question: What is the DOS at the Fermi energy in the second record?
Answer: 4.182 states/eV per cell